P) ## GeRhIN2 (GGA-PBE)

Data for a geometry-optimized GeRhIN2 structure.

Results
- SG: P4/mmm
- Magnetic moment: 0.31 Bohr magnetons per cell

Cell lengths 3.873, 3.873, 7.679 Å; angles 90.00, 90.00, 90.00 degrees
Atoms (fractional coordinates):
I 0.000 0.000 0.500
Ge 0.500 0.500 0.500
Rh 0.000 0.000 0.000
N 0.000 0.500 0.000
N 0.500 0.000 0.000


Q) ## GeRhIN2 (GGA-PBE)

Data for a geometry-optimized GeRhIN2 structure.

Results
- SG: P4/mmm
- Magnetic moment: 0.00 Bohr magnetons per cell

Cell lengths 3.698, 3.698, 8.151 Å; angles 90.00, 90.00, 90.00 degrees
Atoms (fractional coordinates):
I 0.000 0.000 0.500
Ge 0.000 0.000 0.000
Rh 0.500 0.500 0.500
N 0.000 0.500 0.000
N 0.500 0.000 0.000


Short version: P) is the most stable of them.


P) ## GeRhI2N (GGA-PBE)

Data for a geometry-optimized GeRhI2N structure.

Results
- SG: P4/mmm
- Magnetic moment: 1.77 Bohr magnetons per cell

Cell lengths 5.778, 5.778, 3.485 Å; angles 90.00, 90.00, 90.00 degrees
Atoms (fractional coordinates):
I 0.000 0.500 0.000
I 0.500 0.000 0.000
Ge 0.000 0.000 0.000
Rh 0.500 0.500 0.500
N 0.000 0.000 0.500


Q) ## GeRhI2N (GGA-PBE)

Data for a geometry-optimized GeRhI2N structure.

Results
- SG: P4/mmm
- Magnetic moment: 0.00 Bohr magnetons per cell

Cell lengths 5.646, 5.646, 3.723 Å; angles 90.00, 90.00, 90.00 degrees
Atoms (fractional coordinates):
I 0.000 0.500 0.000
I 0.500 0.000 0.000
Ge 0.500 0.500 0.500
Rh 0.000 0.000 0.000
N 0.000 0.000 0.500


Short version: Q) is the most stable of them.


P) ## GeRuI2N (GGA-PBE)

Data for a geometry-optimized GeRuI2N structure.

Results
- SG: P4/mmm
- Magnetic moment: 0.00 Bohr magnetons per cell

Cell lengths 5.577, 5.577, 3.732 Å; angles 90.00, 90.00, 90.00 degrees
Atoms (fractional coordinates):
I 0.000 0.500 0.000
I 0.500 0.000 0.000
Ru 0.000 0.000 0.000
Ge 0.500 0.500 0.500
N 0.000 0.000 0.500


Q) ## GeRuI2N (GGA-PBE)

Data for a geometry-optimized GeRuI2N structure.

Results
- SG: P4/mmm
- Magnetic moment: 3.06 Bohr magnetons per cell

Cell lengths 5.856, 5.856, 3.562 Å; angles 90.00, 90.00, 90.00 degrees
Atoms (fractional coordinates):
I 0.000 0.500 0.000
I 0.500 0.000 0.000
Ru 0.500 0.500 0.500
Ge 0.000 0.000 0.000
N 0.000 0.000 0.500


Short version: P) is the most stable of them.